Entry 1:
Crystalline Rb4TlI5 at its relaxed geometry. Source: Alexandria, functional GGA-PBE.

Computed properties:
- calculated volume (Å³/atom) = 50.7
- ΔE_f (raw) (eV/atom) = -1.330
- spin magnetization (μB/cell) = 0.00

Cell: 5.2367 7.3946 26.1948 Å, 90.00 90.00 90.00°
Space group Immm (No. 71)
Inequivalent atoms, fractional coordinates:
Rb 0.0000 0.0000 0.0991 x4
Rb 0.0000 0.0000 0.3023 x4
Tl 0.0000 0.0000 0.5000 x2
I 0.0000 0.5000 0.0949 x4
I 0.0000 0.5000 0.2993 x4
I 0.0000 0.5000 0.5000 x2



Entry 2:
Crystalline Rb2TlI3 at its relaxed geometry. Source: Alexandria, functional GGA-PBE.

Computed properties:
- calculated volume (Å³/atom) = 55.4
- ΔE_f (raw) (eV/atom) = -1.157
- spin magnetization (μB/cell) = 0.00

Cell: 15.4245 9.1700 9.3936 Å, 90.00 90.00 90.00°
Space group Cmcm (No. 63)
Inequivalent atoms, fractional coordinates:
Rb 0.1801 0.1817 0.2500 x8
Tl 0.0000 0.4165 0.7500 x4
I 0.0000 0.0673 0.7500 x4
I 0.1689 0.5000 0.0000 x8



Entry 3:
Crystalline Rb2TlI7 at its relaxed geometry. Source: Alexandria, functional GGA-PBE.

Computed properties:
- calculated volume (Å³/atom) = 50.3
- ΔE_f (raw) (eV/atom) = -0.601
- spin magnetization (μB/cell) = 0.00

Cell: 8.7746 8.7746 13.0768 Å, 90.00 90.00 90.00°
Space group I4/mmm (No. 139)
Inequivalent atoms, fractional coordinates:
Rb 0.0000 0.5000 0.2500 x4
Tl 0.0000 0.0000 0.0000 x2
I 0.0000 0.0000 0.2348 x4
I 0.0000 0.0000 0.5000 x2
I 0.2459 0.2459 0.0000 x8



Entry 4:
Crystalline Rb2TlI at its relaxed geometry. Source: Alexandria, functional GGA-PBE.

Computed properties:
- calculated volume (Å³/atom) = 54.0
- ΔE_f (raw) (eV/atom) = -0.489
- spin magnetization (μB/cell) = 0.00

Cell: 10.1576 10.1576 8.3815 Å, 90.00 90.00 90.00°
Space group I-42d (No. 122)
Inequivalent atoms, fractional coordinates:
Rb 0.2254 0.2500 0.1250 x8
Tl 0.0000 0.0000 0.5000 x4
I 0.0000 0.0000 0.0000 x4



Entry 5:
Crystalline RbTlI3 at its relaxed geometry. Source: Alexandria, functional GGA-PBE.

Computed properties:
- calculated volume (Å³/atom) = 63.9
- ΔE_f (raw) (eV/atom) = -0.420
- spin magnetization (μB/cell) = 1.00

Cell: 6.8379 6.8379 6.8379 Å, 90.00 90.00 90.00°
Space group Pm-3m (No. 221)
Inequivalent atoms, fractional coordinates:
Rb 0.0000 0.0000 0.0000 x1
Tl 0.5000 0.5000 0.5000 x1
I 0.0000 0.0000 0.5000 x3



Entry 6:
Crystalline RbTlI3 at its relaxed geometry. Source: Alexandria, functional GGA-PBE.

Computed properties:
- calculated volume (Å³/atom) = 67.2
- ΔE_f (raw) (eV/atom) = -0.684
- spin magnetization (μB/cell) = 0.00

Cell: 20.3987 5.6729 12.6510 Å, 90.00 113.42 90.00°
Space group C2/m (No. 12)
Inequivalent atoms, fractional coordinates:
Rb 0.2099 0.0000 0.2949 x4
Tl 0.0296 0.5000 0.8211 x4
I 0.1024 0.5000 0.6496 x4
I 0.1183 0.5000 0.0994 x4
I 0.1324 0.5000 0.4033 x4



Entry 7:
Crystalline Rb2TlI2 at its relaxed geometry. Source: Alexandria, functional GGA-PBE.

Computed properties:
- calculated volume (Å³/atom) = 62.3
- ΔE_f (raw) (eV/atom) = -0.746
- spin magnetization (μB/cell) = 2.00

Cell: 6.6385 6.6385 14.1339 Å, 90.00 90.00 90.00°
Space group I4/mmm (No. 139)
Inequivalent atoms, fractional coordinates:
Rb 0.0000 0.0000 0.1600 x4
Tl 0.0000 0.0000 0.5000 x2
I 0.0000 0.5000 0.2500 x4



Entry 8:
Crystalline Rb5TlI6 at its relaxed geometry. Source: Alexandria, functional GGA-PBE.

Computed properties:
- calculated volume (Å³/atom) = 51.0
- ΔE_f (raw) (eV/atom) = -1.358
- spin magnetization (μB/cell) = 0.00

Cell: 9.0887 15.7388 9.0847 Å, 90.00 109.50 90.00°
Space group C2/m (No. 12)
Inequivalent atoms, fractional coordinates:
Rb 0.0000 0.0000 0.0000 x2
Rb 0.0000 0.1669 0.5000 x4
Rb 0.0000 0.3330 0.0000 x4
Tl 0.0000 0.5000 0.5000 x2
I 0.2443 0.5000 0.2554 x4
I 0.2452 0.3370 0.7463 x8